[1]
Li8YAu6 | GGA-PBE | relaxed

As for the formation energy: -459 meV per atom. The magnetization is 0.000 μB/atom. As for the crystal system: trigonal.

The structure belongs to space group R-3 (No. 148, hexagonal axes); the cell edges are 8.1912, 8.1912 and 15.3227 Å and the angles 90.00°, 90.00° and 120.00°. Symmetry generates all atoms from Li at (0.0000, 0.0000, 0.1301), Li at (0.0161, 0.2559, 0.7030), Y at (0.0000, 0.0000, 0.5000) and Au at (0.0011, 0.3118, 0.2060).


[2]
Li2Y2Au | GGA-PBE | relaxed

As for the formation energy: -175 meV per atom. Its energy relative to the lowest polymorph listed for this composition is 0.0 meV/atom. The magnetization is 0.000 μB/atom. As for the crystal system: tetragonal.

The structure belongs to space group I4/mmm (No. 139); the cell edges are 3.5890, 3.5890 and 18.8118 Å and the angles 90.00°, 90.00° and 90.00°. Symmetry generates all atoms from Li at (0.0000, 0.5000, 0.2500), Y at (0.0000, 0.0000, 0.0944) and Au at (0.0000, 0.0000, 0.5000).


[3]
Li2YAu | GGA-PBE | relaxed

As for the formation energy: -314 meV per atom. Its energy relative to the lowest polymorph listed for this composition is 132.5 meV/atom. The magnetization is 0.093 μB/atom. As for the crystal system: orthorhombic.

The structure belongs to space group Pmmm (No. 47); the cell edges are 4.1128, 4.1248 and 5.0652 Å and the angles 90.00°, 90.00° and 90.00°. Symmetry generates all atoms from Li at (0.0000, 0.0000, 0.0000), Li at (0.5000, 0.5000, 0.0000), Y at (0.0000, 0.5000, 0.5000) and Au at (0.5000, 0.0000, 0.5000).


[4]
Li2YZnAu2 | GGA-PBE | relaxed

As for the formation energy: -545 meV per atom. The magnetization is 0.000 μB/atom. As for the crystal system: trigonal.

The structure belongs to space group P-3m1 (No. 164); the cell edges are 4.4616, 4.4616 and 6.3789 Å and the angles 90.00°, 90.00° and 120.00°. Symmetry generates all atoms from Li at (0.3333, 0.6667, 0.1681), Y at (0.0000, 0.0000, 0.5000), Zn at (0.0000, 0.0000, 0.0000) and Au at (0.3333, 0.6667, 0.7597).


[5]
Li2YZnAu4 | GGA-PBE | relaxed

As for the formation energy: -564 meV per atom. The magnetization is 0.000 μB/atom. As for the crystal system: trigonal.

The structure belongs to space group R-3m (No. 166, hexagonal axes); the cell edges are 4.4662, 4.4662 and 25.3959 Å and the angles 90.00°, 90.00° and 120.00°. Symmetry generates all atoms from Li at (0.0000, 0.0000, 0.2382), Y at (0.0000, 0.0000, 0.0000), Zn at (0.0000, 0.0000, 0.5000), Au at (0.0000, 0.0000, 0.1272) and Au at (0.0000, 0.0000, 0.3952).


[6]
LiYZn2Au5 | GGA-PBE | relaxed

As for the formation energy: -377 meV per atom. The magnetization is 0.000 μB/atom. As for the crystal system: tetragonal.

The structure belongs to space group P4/mmm (No. 123); the cell edges are 4.4092, 4.4092 and 9.3082 Å and the angles 90.00°, 90.00° and 90.00°. Symmetry generates all atoms from Li at (0.0000, 0.0000, 0.0000), Y at (0.0000, 0.0000, 0.5000), Zn at (0.5000, 0.5000, 0.1283), Au at (0.0000, 0.5000, 0.2762) and Au at (0.5000, 0.5000, 0.5000).


[7]
Li2Zn5Au | GGA-PBE | relaxed

As for the formation energy: -209 meV per atom. The magnetization is 0.000 μB/atom. As for the crystal system: orthorhombic.

The structure belongs to space group Fmmm (No. 69); the cell edges are 7.7630, 7.8204 and 7.9142 Å and the angles 90.00°, 90.00° and 90.00°. Symmetry generates all atoms from Li at (0.2500, 0.2500, 0.0000), Zn at (0.0000, 0.0000, 0.0000), Zn at (0.0000, 0.2500, 0.2500), Zn at (0.2500, 0.0000, 0.2500) and Au at (0.0000, 0.0000, 0.5000).


[8]
Li2ZnAu4 | GGA-PBE | relaxed

As for the formation energy: -232 meV per atom. Its energy relative to the lowest polymorph listed for this composition is 126.7 meV/atom. The magnetization is 0.000 μB/atom. As for the crystal system: tetragonal.

The structure belongs to space group I4/mmm (No. 139); the cell edges are 4.9917, 4.9917 and 10.8074 Å and the angles 90.00°, 90.00° and 90.00°. Symmetry generates all atoms from Li at (0.0000, 0.0000, 0.1475), Zn at (0.0000, 0.0000, 0.5000), Au at (0.0000, 0.5000, 0.0000) and Au at (0.0000, 0.5000, 0.2500).


[9]
LiZnAu3 | GGA-PBE | relaxed

As for the formation energy: -277 meV per atom. Its energy relative to the lowest polymorph listed for this composition is 70.9 meV/atom. The magnetization is 0.000 μB/atom. As for the crystal system: triclinic.

The structure belongs to space group P-1 (No. 2); the cell edges are 4.6507, 6.0628 and 6.8737 Å and the angles 70.72°, 88.63° and 77.82°. Symmetry generates all atoms from Li at (0.1716, 0.0320, 0.1678), Zn at (0.3067, 0.4859, 0.3182), Au at (0.1288, 0.7567, 0.5694), Au at (0.2621, 0.2425, 0.7395) and Au at (0.3941, 0.7473, 0.9306).


[10]
LiZnAu | GGA-PBE | relaxed

As for the formation energy: -289 meV per atom. Its energy relative to the lowest polymorph listed for this composition is 99.4 meV/atom. The magnetization is 0.000 μB/atom. As for the crystal system: cubic.

The structure belongs to space group F-43m (No. 216); the cell edges are 6.1321, 6.1321 and 6.1321 Å and the angles 90.00°, 90.00° and 90.00°. Symmetry generates all atoms from Li at (0.0000, 0.0000, 0.0000), Zn at (0.0000, 0.0000, 0.5000) and Au at (0.2500, 0.2500, 0.7500).


[11]
LiZn5Au2 | GGA-PBE | relaxed

As for the formation energy: -217 meV per atom. Its energy relative to the lowest polymorph listed for this composition is 0.0 meV/atom. The magnetization is 0.000 μB/atom. As for the crystal system: orthorhombic.

The structure belongs to space group Pbam (No. 55); the cell edges are 5.7324, 10.8364 and 3.9707 Å and the angles 90.00°, 90.00° and 90.00°. Symmetry generates all atoms from Li at (0.0000, 0.0000, 0.0000), Zn at (0.0000, 0.5000, 0.0000), Zn at (0.0050, 0.2534, 0.0000), Zn at (0.2467, 0.8755, 0.5000) and Au at (0.2381, 0.1241, 0.5000).


[12]
LiZnAu | GGA-PBE | relaxed

As for the formation energy: -233 meV per atom. Its energy relative to the lowest polymorph listed for this composition is 155.2 meV/atom. The magnetization is 0.000 μB/atom. As for the crystal system: tetragonal.

The structure belongs to space group I4/mmm (No. 139); the cell edges are 3.0742, 3.0742 and 22.4700 Å and the angles 90.00°, 90.00° and 90.00°. Symmetry generates all atoms from Li at (0.0000, 0.0000, 0.0683), Zn at (0.0000, 0.0000, 0.2136) and Au at (0.0000, 0.0000, 0.3617).


[13]
LiZn8Au5 | GGA-PBE | relaxed

As for the formation energy: -158 meV per atom. The magnetization is 0.000 μB/atom. As for the crystal system: tetragonal.

The structure belongs to space group I-4 (No. 82); the cell edges are 7.4588, 7.4588 and 8.5890 Å and the angles 90.00°, 90.00° and 90.00°. Symmetry generates all atoms from Li at (0.0000, 0.0000, 0.0000), Zn at (0.0714, 0.1662, 0.6437), Zn at (0.0999, 0.3465, 0.0195), Au at (0.0000, 0.5000, 0.7500) and Au at (0.1525, 0.2872, 0.3343).


[14]
Li2ZnAu4 | GGA-PBE | relaxed

As for the formation energy: -359 meV per atom. Its energy relative to the lowest polymorph listed for this composition is 0.0 meV/atom. The magnetization is 0.000 μB/atom. As for the crystal system: tetragonal.

The structure belongs to space group I4/mmm (No. 139); the cell edges are 5.7907, 5.7907 and 7.1061 Å and the angles 90.00°, 90.00° and 90.00°. Symmetry generates all atoms from Li at (0.0000, 0.5000, 0.0000), Zn at (0.0000, 0.0000, 0.0000) and Au at (0.2500, 0.2500, 0.2500).


[15]
LiZn4Au4 | GGA-PBE | relaxed

As for the formation energy: -165 meV per atom. Its energy relative to the lowest polymorph listed for this composition is 0.0 meV/atom. The magnetization is 0.000 μB/atom. As for the crystal system: tetragonal.

The structure belongs to space group I4/m (No. 87); the cell edges are 8.8297, 8.8297 and 4.8272 Å and the angles 90.00°, 90.00° and 90.00°. Symmetry generates all atoms from Li at (0.0000, 0.0000, 0.0000), Zn at (0.0994, 0.6118, 0.5000) and Au at (0.1747, 0.7000, 0.0000).


[16]
LiZn6Au12 | GGA-PBE | relaxed

As for the formation energy: -112 meV per atom. Its energy relative to the lowest polymorph listed for this composition is 87.8 meV/atom. The magnetization is 0.000 μB/atom. As for the crystal system: trigonal.

The structure belongs to space group R-3 (No. 148, hexagonal axes); the cell edges are 11.3533, 11.3533 and 9.3371 Å and the angles 90.00°, 90.00° and 120.00°. Symmetry generates all atoms from Li at (0.0000, 0.0000, 0.0000), Zn at (0.0323, 0.8856, 0.7090), Au at (0.0619, 0.5866, 0.1179) and Au at (0.0654, 0.5926, 0.6246).


[17]
Li8Zn6Au | GGA-PBE | relaxed

As for the formation energy: -160 meV per atom. Its energy relative to the lowest polymorph listed for this composition is 16.2 meV/atom. The magnetization is 0.000 μB/atom. As for the crystal system: trigonal.

The structure belongs to space group R-3 (No. 148, hexagonal axes); the cell edges are 6.8555, 6.8555 and 17.2476 Å and the angles 90.00°, 90.00° and 120.00°. Symmetry generates all atoms from Li at (0.0000, 0.0000, 0.0837), Li at (0.0519, 0.2614, 0.6269), Zn at (0.0097, 0.7741, 0.2111) and Au at (0.0000, 0.0000, 0.5000).


[18]
Li6ZnAu12 | GGA-PBE | relaxed

As for the formation energy: -360 meV per atom. The magnetization is 0.000 μB/atom. As for the crystal system: trigonal.

The structure belongs to space group R-3 (No. 148, hexagonal axes); the cell edges are 11.8389, 11.8389 and 8.4286 Å and the angles 90.00°, 90.00° and 120.00°. Symmetry generates all atoms from Li at (0.0486, 0.2185, 0.2475), Zn at (0.0000, 0.0000, 0.5000), Au at (0.0515, 0.2362, 0.5792) and Au at (0.0588, 0.2327, 0.9221).


[19]
Li3Zn8Au | GGA-PBE | relaxed

As for the formation energy: -186 meV per atom. The magnetization is 0.000 μB/atom. As for the crystal system: trigonal.

The structure belongs to space group R3m (No. 160, hexagonal axes); the cell edges are 5.0666, 5.0666 and 25.2298 Å and the angles 90.00°, 90.00° and 120.00°. Symmetry generates all atoms from Li at (0.0000, 0.0000, 0.0000), Li at (0.0000, 0.0000, 0.1262), Li at (0.0000, 0.0000, 0.5039), Zn at (0.0000, 0.0000, 0.3145), Zn at (0.0000, 0.0000, 0.8135), Zn at (0.9996, 0.4998, 0.0644), Zn at (0.1673, 0.3345, 0.8971) and Au at (0.0000, 0.0000, 0.6272).


[20]
LiZn2Au2 | GGA-PBE | relaxed

As for the formation energy: -271 meV per atom. Its energy relative to the lowest polymorph listed for this composition is 87.0 meV/atom. The magnetization is 0.000 μB/atom. As for the crystal system: tetragonal.

The structure belongs to space group I4/mmm (No. 139); the cell edges are 3.7361, 3.7361 and 12.9654 Å and the angles 90.00°, 90.00° and 90.00°. Symmetry generates all atoms from Li at (0.0000, 0.0000, 0.0000), Zn at (0.0000, 0.5000, 0.2500) and Au at (0.0000, 0.0000, 0.3964).